<1>
Gd2AlPt GGA-PBE optimized geometry; crystal system = cubic
1.0
0.000 3.591 3.591
3.591 0.000 3.591
3.591 3.591 0.000
Gd Al Pt
2 1 1
direct
0.250 0.250 0.250
0.750 0.750 0.750
0.000 0.000 0.000
0.500 0.500 0.500

---

<2>
Gd2AlPt GGA-PBE optimized geometry; crystal system = tetragonal
1.0
3.622 0.000 0.000
0.000 3.622 0.000
0.000 0.000 6.993
Gd Al Pt
2 1 1
direct
0.000 0.000 0.238
0.000 0.000 0.762
0.500 0.500 0.500
0.500 0.500 0.000

---

It turns out <2> is the most stable, with the second structure 7.0 kJ/mol of atoms higher.

---

<1>
Gd2AlRh GGA-PBE optimized geometry; crystal system = cubic
1.0
0.000 3.561 3.561
3.561 0.000 3.561
3.561 3.561 0.000
Gd Al Rh
2 1 1
direct
0.250 0.250 0.250
0.750 0.750 0.750
0.000 0.000 0.000
0.500 0.500 0.500

---

<2>
Gd2AlRh GGA-PBE optimized geometry; crystal system = tetragonal
1.0
3.593 0.000 0.000
0.000 3.593 0.000
0.000 0.000 6.929
Gd Al Rh
2 1 1
direct
0.000 0.000 0.234
0.000 0.000 0.766
0.500 0.500 0.500
0.500 0.500 0.000

---

It turns out <2> is the most stable, with the second structure 7.7 kJ/mol of atoms higher.

---

<1>
Gd2ScAl GGA-PBE optimized geometry; crystal system = tetragonal
1.0
4.695 0.000 0.000
0.000 4.695 0.000
0.000 0.000 4.648
Gd Sc Al
2 1 1
direct
0.000 0.500 0.000
0.500 0.000 0.000
0.000 0.000 0.500
0.500 0.500 0.500

---

<2>
Gd2ScAl GGA-PBE optimized geometry; crystal system = cubic
1.0
0.000 3.721 3.721
3.721 0.000 3.721
3.721 3.721 0.000
Gd Sc Al
2 1 1
direct
0.250 0.250 0.250
0.750 0.750 0.750
0.000 0.000 0.000
0.500 0.500 0.500

---

It turns out <1> is the most stable, with the second structure 7.7 kJ/mol of atoms higher.